Entry 1:
An optimized crystal structure of HoMn3Pd12. Source: Alexandria via LeMat-Bulk, functional PBE-GGA.

Unit cell a=3.985 b=3.985 c=15.798 alpha=90.00 beta=90.00 gamma=90.00
Site moments in Bohr magnetons follow the coordinates.
Fractional coordinates of all 16 atoms:
Pd (0.500, 0.000, 0.865)  0.06
Pd (0.500, 0.500, 0.743)  0.10
Pd (0.000, 0.500, 0.135)  0.06
Pd (0.500, 0.000, 0.135)  0.06
Pd (0.000, 0.500, 0.865)  0.06
Pd (0.000, 0.500, 0.379)  0.16
Pd (0.500, 0.000, 0.379)  0.16
Pd (0.500, 0.500, 0.500)  0.17
Pd (0.500, 0.500, 0.257)  0.10
Pd (0.500, 0.000, 0.621)  0.16
Pd (0.500, 0.500, 0.000)  -0.01
Pd (0.000, 0.500, 0.621)  0.16
Mn (0.000, 0.000, 0.743)  3.92
Mn (0.000, 0.000, 0.500)  3.89
Mn (0.000, 0.000, 0.257)  3.92
Ho (0.000, 0.000, 0.000)  -0.02

Properties
ΔH_f (0 K) ... -6.0 eV per formula unit
Space group ... P4/mmm


Entry 2:
An optimized crystal structure of Mn2InPt9. Source: Alexandria via LeMat-Bulk, functional PBE-GGA.

Unit cell a=3.971 b=3.971 c=11.897 alpha=90.00 beta=90.00 gamma=90.00
Site moments in Bohr magnetons follow the coordinates.
Fractional coordinates of all 12 atoms:
Pt (0.500, 0.000, 0.500)  0.14
Pt (0.000, 0.500, 0.500)  0.14
Pt (0.000, 0.500, 0.824)  0.06
Pt (0.500, 0.500, 0.337)  0.12
Pt (0.500, 0.000, 0.824)  0.06
Pt (0.500, 0.500, 0.663)  0.12
Pt (0.000, 0.500, 0.176)  0.06
Pt (0.500, 0.500, 0.000)  -0.01
Pt (0.500, 0.000, 0.176)  0.06
Mn (0.000, 0.000, 0.664)  3.73
Mn (0.000, 0.000, 0.336)  3.73
In (0.000, 0.000, 0.000)  -0.01

Properties
ΔH_f (0 K) ... -4.3 eV per formula unit
Space group ... P4/mmm


Entry 3:
An optimized crystal structure of Cs2ZnPSe4. Source: Alexandria via LeMat-Bulk, functional PBE-GGA.

Unit cell a=6.201 b=7.909 c=13.180 alpha=84.71 beta=76.39 gamma=66.92
Fractional coordinates of all 16 atoms:
Cs (0.571, 0.500, 0.858)
Cs (0.929, 0.500, 0.142)
Cs (0.179, 0.000, 0.642)
Cs (0.821, 0.000, 0.358)
Zn (0.750, 0.500, 0.500)
Zn (0.000, 0.000, 0.000)
Se (0.307, 0.817, 0.102)
Se (0.876, 0.817, 0.898)
Se (0.226, 0.183, 0.898)
Se (0.524, 0.317, 0.602)
Se (0.443, 0.683, 0.398)
Se (0.591, 0.183, 0.102)
Se (0.874, 0.683, 0.602)
Se (0.159, 0.317, 0.398)
P (0.500, 0.000, 0.000)
P (0.250, 0.500, 0.500)

Properties
Space group ... Fddd
Uncorrected formation energy ... -0.6809 eV per atom


Entry 4:
An optimized crystal structure of Pa4GaIr. Source: Alexandria via LeMat-Bulk, functional PBE-GGA.

Unit cell a=6.456 b=6.067 c=7.050 alpha=90.00 beta=90.00 gamma=90.00
Fractional coordinates of all 12 atoms:
Pa (0.652, 0.743, 0.166)
Pa (0.348, 0.743, 0.834)
Pa (0.235, 0.327, 0.678)
Pa (0.348, 0.257, 0.166)
Pa (0.652, 0.257, 0.834)
Pa (0.235, 0.673, 0.322)
Pa (0.765, 0.327, 0.322)
Pa (0.765, 0.673, 0.678)
Ir (0.000, 0.500, 0.000)
Ir (0.000, 0.000, 0.500)
Ga (0.500, 0.000, 0.500)
Ga (0.000, 0.000, 0.000)

Properties
ΔH_f (0 K) ... -1.0 eV per formula unit
Space group ... P222


Entry 5:
An optimized crystal structure of Tb3ZnSi3. Source: Alexandria via LeMat-Bulk, functional PBE-GGA.

Unit cell a=3.938 b=4.224 c=9.391 alpha=103.00 beta=102.10 gamma=90.00
Fractional coordinates of all 7 atoms:
Si (0.855, 0.355, 0.710)
Si (0.145, 0.645, 0.291)
Si (0.565, 0.565, 0.130)
Tb (0.004, 0.004, 0.008)
Tb (0.314, 0.814, 0.628)
Tb (0.684, 0.184, 0.368)
Zn (0.433, 0.433, 0.865)

Properties
Space group ... Imm2
Uncorrected formation energy ... -0.7077 eV per atom


Entry 6:
An optimized crystal structure of AcLaGaRh. Source: Alexandria via LeMat-Bulk, functional PBE-GGA.

Unit cell a=5.309 b=5.309 c=5.309 alpha=60.00 beta=60.00 gamma=60.00
Fractional coordinates of all 4 atoms:
La (0.500, 0.500, 0.500)
Ac (0.000, 0.000, 0.000)
Rh (0.750, 0.750, 0.750)
Ga (0.250, 0.250, 0.250)

Properties
ΔH_f (0 K) ... -1.9 eV per formula unit
Space group ... F-43m
Energy above the lowest structure with this stoichiometry ... 0.135 eV/atom


Entry 7:
An optimized crystal structure of La4Zn2Co. Source: Alexandria via LeMat-Bulk, functional PBE-GGA.

Unit cell a=5.201 b=5.201 c=8.570 alpha=72.34 beta=72.34 gamma=90.00
Fractional coordinates of all 7 atoms:
La (0.815, 0.815, 0.371)
La (0.185, 0.185, 0.629)
La (0.500, 0.000, 0.000)
La (0.000, 0.500, 0.000)
Zn (0.377, 0.377, 0.246)
Zn (0.623, 0.623, 0.754)
Co (0.000, 0.000, 0.000)

Properties
ΔH_f (0 K) ... -0.7 eV per formula unit
Space group ... I4/mmm
Energy above the lowest structure with this stoichiometry ... 0.071 eV/atom


Entry 8:
An optimized crystal structure of ZnIn4Ag2. Source: Alexandria via LeMat-Bulk, functional PBE-GGA.

Unit cell a=5.274 b=5.274 c=7.825 alpha=70.31 beta=70.31 gamma=90.00
Fractional coordinates of all 7 atoms:
Zn (0.000, 0.000, 0.000)
In (0.804, 0.804, 0.393)
In (0.000, 0.500, 0.000)
In (0.196, 0.196, 0.607)
In (0.500, 0.000, 0.000)
Ag (0.394, 0.394, 0.212)
Ag (0.606, 0.606, 0.788)

Properties
ΔH_f (0 K) ... 1.8 eV per formula unit
Space group ... I4/mmm


Entry 9:
An optimized crystal structure of HPdSe. Source: Alexandria via LeMat-Bulk, functional PBE-GGA.

Unit cell a=3.428 b=3.427 c=9.601 alpha=100.38 beta=100.24 gamma=90.00
Fractional coordinates of all 6 atoms:
Se (0.964, 0.967, 0.478)
Se (0.658, 0.664, 0.866)
H (0.341, 0.342, 0.212)
H (0.328, 0.299, 0.132)
Pd (0.108, 0.112, 0.765)
Pd (0.515, 0.518, 0.579)

Properties
Space group ... P1
Energy above the lowest structure with this stoichiometry ... 0.000 eV/atom


Entry 10:
An optimized crystal structure of BP2Au. Source: Alexandria via LeMat-Bulk, functional PBE-GGA.

Unit cell a=3.136 b=3.229 c=6.622 alpha=90.00 beta=103.82 gamma=90.00
Fractional coordinates of all 4 atoms:
B (0.676, 0.500, 0.195)
P (0.086, 0.500, 0.017)
P (0.761, 0.000, 0.366)
Au (0.946, 0.000, 0.740)

Properties
ΔH_f (0 K) ... -0.2 eV per formula unit
Space group ... Pm


Entry 11:
An optimized crystal structure of GdPuCo4. Source: Alexandria via LeMat-Bulk, functional PBE-GGA.

Unit cell a=5.059 b=5.059 c=5.059 alpha=60.00 beta=60.00 gamma=60.00
Site moments in Bohr magnetons follow the coordinates.
Fractional coordinates of all 6 atoms:
Co (0.127, 0.624, 0.624)  -1.21
Co (0.624, 0.127, 0.624)  -1.21
Co (0.624, 0.624, 0.127)  -1.21
Co (0.624, 0.624, 0.624)  -1.21
Pu (0.250, 0.250, 0.250)  5.24
Gd (0.000, 0.000, 0.000)  7.28

Properties
ΔH_f (0 K) ... -1.0 eV per formula unit
Space group ... F-43m


Entry 12:
An optimized crystal structure of ReRu2Cl. Source: Alexandria via LeMat-Bulk, functional PBE-GGA.

Unit cell a=3.932 b=2.833 c=5.406 alpha=74.81 beta=90.00 gamma=90.00
Fractional coordinates of all 4 atoms:
Re (0.500, 0.559, 0.757)
Ru (0.500, 0.312, 0.252)
Ru (0.000, 0.931, 0.015)
Cl (0.000, 0.699, 0.476)

Properties
Space group ... Amm2
Uncorrected formation energy ... 0.6631 eV per atom
Energy above the lowest structure with this stoichiometry ... 0.363 eV/atom


- Number 8 is which compound?
  ZnIn4Ag2